(1)
## CsCeAu2 (PBE-GGA)

Data for a relaxed structure of CsCeAu2.

```
CsCeAu2
1.0
3.8879 0.0000 0.0000
0.0000 3.8879 0.0000
0.0000 0.0000 8.5762
Ce Au Cs
1 2 1
Direct
0.5000 0.5000 0.0000
0.0000 0.0000 0.8249
0.0000 0.0000 0.1751
0.5000 0.5000 0.5000
```

Summary:
magnetic moment	1.07	μB/f.u.
calculated formation energy	-427	meV/atom
volume	32.41	A^3/atom

***

(2)
## CsCeAuI6 (PBE-GGA)

Data for a relaxed structure of CsCeAuI6.

```
CsCeAuI6
1.0
8.3982 -1.4426 -1.0534
2.8649 6.8089 0.2694
-1.1006 0.9679 7.5647
I Ce Au Cs
6 1 1 1
Direct
0.8937 0.3410 0.4252
0.6308 0.3973 0.8365
0.9170 0.7646 0.7588
0.3512 0.5309 0.2204
0.6277 0.9203 0.1768
0.3569 0.9598 0.5660
0.6422 0.6491 0.4946
0.4527 0.2853 0.5380
0.1276 0.1519 0.9835
```

Summary:
magnetic moment	0.00	μB/f.u.
formation energy (no corrections)	-996.2	meV/atom
volume	50.14	A^3/atom

***

Q: Which formula does entry 1 have?
A: CsCeAu2

***

Q: Which value of magnetic moment does entry 1 give?
A: 1.07 μB/f.u.